DFT (PBE) results for crystalline ZrGe4S3 at its relaxed geometry.

Lattice parameters (Å, degrees): 5.973 3.456 8.160 90.00 104.58 90.00
Atoms (fractional coordinates):
1 Zr 0.000 0.000 0.000
2 Ge 0.019 0.500 0.285
3 Ge 0.329 0.000 0.723
4 Ge 0.588 0.500 0.957
5 Ge 0.744 0.000 0.404
6 S 0.361 0.500 0.507
7 S 0.432 0.000 0.139
8 S 0.942 0.500 0.764

Properties
- E_tot (eV per atom) = -5.1543
- calculated density (g/cm3) = 4.9
- size of the total moment (μB per cell) = 0.009

---

DFT (PBE) results for crystalline Sm2Sc2GeSb at its relaxed geometry.

Lattice parameters (Å, degrees): 4.372 4.372 16.088 90.00 90.00 90.00
Atoms (fractional coordinates):
1 Sm 0.000 0.000 0.000
2 Sm 0.000 0.000 0.353
3 Sm 0.500 0.500 0.500
4 Sm 0.500 0.500 0.853
5 Sc 0.000 0.500 0.189
6 Sc 0.000 0.500 0.689
7 Sc 0.500 0.000 0.189
8 Sc 0.500 0.000 0.689
9 Ge 0.000 0.000 0.806
10 Ge 0.500 0.500 0.306
11 Sb 0.000 0.000 0.554
12 Sb 0.500 0.500 0.054

Properties
- E_tot (eV per atom) = -5.9325
- calculated density (g/cm3) = 6.3
- size of the total moment (μB per cell) = 1.768

---

calculated density of number 1 (ZrGe4S3)?
4.9 g/cm3

---

Which formula does entry 2 have?
Sm2Sc2GeSb